A plane-wave DFT calculation with PBE was carried out for a relaxed Rb3AlCl crystal.

As for the total magnetic moment: 0.226 μB per atom. The value obtained for the density is 2.1 g/cm³. The formation energy from raw total energies comes out at -0.421 eV per atom. As for the crystal system: cubic. The distance to the lowest polymorph of the same formula comes out at 0.0000 eV per atom.

Unit cell a=6.3648 b=6.3648 c=6.3648 alpha=90.00 beta=90.00 gamma=90.00
Last column: nearest neighbours and their distance in Å.
Fractional positions:
Al (0.5000, 0.5000, 0.5000)  12 Rb 4.50
Rb (0.0000, 0.5000, 0.0000)  2 Cl 3.18
Rb (0.0000, 0.0000, 0.5000)  2 Cl 3.18
Rb (0.5000, 0.0000, 0.0000)  2 Cl 3.18
Cl (0.0000, 0.0000, 0.0000)  6 Rb 3.18